Here is an optimized crystal structure of Mg3CdPb from Alexandria. Energies are from GGA-PBE.

a b c (Å): 4.885 6.157 4.887
angles (deg): 90.06 119.83 89.80
Element x y z (fractional)
Mg1 0.423 0.897 0.688
Mg2 0.425 0.394 0.688
Mg3 0.757 0.645 0.355
Pb1 0.758 0.145 0.354
Cd1 0.091 0.644 0.021

Values from the calculation:
space group = No. 1
total energy = -1.90 eV per atom
V = 128 Å³/cell
M_tot = 0.00 μB per cell
formation energy = -0.016 eV/atom

Here is an optimized crystal structure of Mg6Cd5Pb from Alexandria. Energies are from GGA-PBE.

a b c (Å): 5.006 8.580 8.580
angles (deg): 118.03 106.79 106.79
Element x y z (fractional)
Cd1 0.500 0.834 0.166
Cd2 0.000 0.331 0.669
Cd3 0.500 0.500 0.500
Cd4 0.500 0.166 0.834
Cd5 0.000 0.669 0.331
Pb1 0.000 0.000 0.000
Mg1 0.763 0.263 0.263
Mg2 0.257 0.427 0.087
Mg3 0.743 0.913 0.573
Mg4 0.743 0.573 0.913
Mg5 0.257 0.087 0.427
Mg6 0.237 0.737 0.737

Values from the calculation:
space group = No. 12
total energy = -1.56 eV per atom
V = 269 Å³/cell
M_tot = 0.00 μB per cell
formation energy = -0.076 eV/atom

Here is an optimized crystal structure of Mg3CdPb3 from Alexandria. Energies are from GGA-PBE.

a b c (Å): 7.181 7.181 7.328
angles (deg): 89.98 89.98 88.23
Element x y z (fractional)
Cd1 0.501 0.501 0.211
Cd2 0.499 0.499 0.789
Pb1 0.500 0.000 0.238
Pb2 0.000 0.500 0.238
Pb3 0.000 0.500 0.762
Pb4 0.000 0.000 0.741
Pb5 0.000 0.000 0.259
Pb6 0.500 0.000 0.762
Mg1 0.725 0.275 0.500
Mg2 0.275 0.725 0.500
Mg3 0.247 0.753 0.000
Mg4 0.729 0.729 0.501
Mg5 0.271 0.271 0.499
Mg6 0.753 0.247 0.000

Values from the calculation:
space group = No. 12
total energy = -2.42 eV per atom
V = 378 Å³/cell
M_tot = 0.00 μB per cell
formation energy = -0.017 eV/atom

Here is an optimized crystal structure of Mg3CdPb12 from Alexandria. Energies are from GGA-PBE.

a b c (Å): 4.841 4.841 20.104
angles (deg): 90.00 90.00 90.00
Element x y z (fractional)
Pb1 0.500 0.500 0.500
Pb2 0.500 0.000 0.873
Pb3 0.500 0.500 0.252
Pb4 0.500 0.500 0.748
Pb5 0.000 0.500 0.624
Pb6 0.000 0.500 0.376
Pb7 0.500 0.000 0.376
Pb8 0.500 0.000 0.624
Pb9 0.500 0.000 0.127
Pb10 0.000 0.500 0.127
Pb11 0.000 0.500 0.873
Pb12 0.500 0.500 0.000
Mg1 0.000 0.000 0.750
Mg2 0.000 0.000 0.250
Mg3 0.000 0.000 0.500
Cd1 0.000 0.000 0.000

Values from the calculation:
space group = No. 123
total energy = -3.13 eV per atom
V = 471 Å³/cell
M_tot = 0.00 μB per cell
formation energy = 0.009 eV/atom

Here is an optimized crystal structure of MgCd2Pb from Alexandria. Energies are from GGA-PBE.

a b c (Å): 5.433 5.433 5.753
angles (deg): 78.28 78.28 36.77
Element x y z (fractional)
Mg1 0.750 0.750 0.750
Cd1 0.008 0.008 0.973
Cd2 0.492 0.492 0.527
Pb1 0.250 0.250 0.250

Values from the calculation:
space group = No. 12
total energy = -1.78 eV per atom
V = 99 Å³/cell
M_tot = 0.00 μB per cell
formation energy = 0.003 eV/atom

Here is an optimized crystal structure of Mg2CdPb5 from Alexandria. Energies are from GGA-PBE.

a b c (Å): 6.730 6.730 6.729
angles (deg): 116.49 116.49 96.21
Element x y z (fractional)
Pb1 0.778 0.278 0.000
Pb2 0.278 0.778 0.000
Pb3 0.778 0.778 0.500
Pb4 0.278 0.278 0.000
Pb5 0.278 0.278 0.500
Mg1 0.277 0.777 0.500
Mg2 0.777 0.277 0.500
Cd1 0.779 0.778 0.000

Values from the calculation:
space group = No. 107
total energy = -2.83 eV per atom
V = 225 Å³/cell
M_tot = 0.00 μB per cell
formation energy = 0.006 eV/atom

Here is an optimized crystal structure of MgCd4Pb from Alexandria. Energies are from GGA-PBE.

a b c (Å): 4.440 7.279 9.271
angles (deg): 90.00 90.00 90.00
Element x y z (fractional)
Mg1 0.000 0.728 0.250
Mg2 0.000 0.272 0.750
Cd1 0.500 0.696 0.021
Cd2 0.000 0.000 0.500
Cd3 0.000 0.000 0.000
Cd4 0.500 0.696 0.479
Cd5 0.500 0.993 0.750
Cd6 0.500 0.304 0.521
Cd7 0.500 0.007 0.250
Cd8 0.500 0.304 0.979
Pb1 0.000 0.681 0.750
Pb2 0.000 0.319 0.250

Values from the calculation:
space group = No. 51
total energy = -1.46 eV per atom
V = 300 Å³/cell
M_tot = 0.00 μB per cell
formation energy = 0.035 eV/atom

Here is an optimized crystal structure of MgCd2Pb from Alexandria. Energies are from GGA-PBE.

a b c (Å): 5.188 5.188 5.897
angles (deg): 78.61 78.61 40.04
Element x y z (fractional)
Mg1 0.495 0.495 0.524
Pb1 0.250 0.250 0.259
Cd1 0.750 0.750 0.752
Cd2 0.005 0.005 0.964

Values from the calculation:
space group = No. 8
total energy = -1.79 eV per atom
V = 100 Å³/cell
M_tot = 0.00 μB per cell
formation energy = -0.009 eV/atom

Here is an optimized crystal structure of Mg8CdPb3 from Alexandria. Energies are from GGA-PBE.

a b c (Å): 8.464 8.464 8.464
angles (deg): 69.78 132.28 132.28
Element x y z (fractional)
Mg1 0.000 0.880 0.365
Mg2 0.000 0.635 0.120
Mg3 0.516 0.880 0.880
Mg4 0.484 0.120 0.120
Mg5 0.484 0.365 0.365
Mg6 0.516 0.635 0.635
Mg7 0.000 0.120 0.635
Mg8 0.000 0.365 0.880
Pb1 0.000 0.500 0.500
Pb2 0.500 0.250 0.750
Pb3 0.500 0.750 0.250
Cd1 0.000 0.000 0.000

Values from the calculation:
space group = No. 139
total energy = -2.10 eV per atom
V = 325 Å³/cell
M_tot = 0.00 μB per cell
formation energy = -0.031 eV/atom

Here is an optimized crystal structure of Mg2Cd9Pb from Alexandria. Energies are from GGA-PBE.

a b c (Å): 4.520 4.520 13.589
angles (deg): 90.00 90.00 90.00
Element x y z (fractional)
Mg1 0.000 0.000 0.661
Mg2 0.000 0.000 0.339
Cd1 0.500 0.500 0.339
Cd2 0.000 0.500 0.500
Cd3 0.500 0.000 0.819
Cd4 0.000 0.500 0.819
Cd5 0.500 0.500 0.661
Cd6 0.500 0.000 0.181
Cd7 0.500 0.000 0.500
Cd8 0.500 0.500 0.000
Cd9 0.000 0.500 0.181
Pb1 0.000 0.000 0.000

Values from the calculation:
space group = No. 123
total energy = -1.29 eV per atom
V = 278 Å³/cell
M_tot = 0.00 μB per cell
formation energy = -0.026 eV/atom

Here is an optimized crystal structure of Mg3CdPb from Alexandria. Energies are from GGA-PBE.

a b c (Å): 5.247 5.247 5.247
angles (deg): 90.00 90.00 90.00
Element x y z (fractional)
Cd1 0.000 0.000 0.000
Mg1 0.000 0.500 0.000
Mg2 0.000 0.000 0.500
Mg3 0.500 0.000 0.000
Pb1 0.500 0.500 0.500

Values from the calculation:
space group = No. 221
total energy = -1.62 eV per atom
V = 144 Å³/cell
M_tot = 0.00 μB per cell
formation energy = 0.261 eV/atom